Entry 1:
Material: NdGa2Cl8
Method: DFT, GGA-PBE
State: optimized geometry

Summary:
Crystal system: monoclinic
Calculated density (g/cm³): 2.48
Formation energy without anion corrections (eV per formula unit): -15.0
M_tot (μB/atom): 0.0000

The structure in POSCAR format:
```
NdGa2Cl8
1.0
6.7538 -4.2513 0.0000
6.7538 4.2513 0.0000
-1.1218 0.0000 6.6258
Nd Ga Cl
1 2 8
direct
0.0000 0.0000 0.0000
0.1925 0.1925 0.6549
0.8075 0.8075 0.3451
0.0996 0.6974 0.2252
0.1690 0.1690 0.3001
0.3026 0.9004 0.7748
0.3529 0.3529 0.7723
0.6471 0.6471 0.2277
0.6974 0.0996 0.2252
0.8310 0.8310 0.6999
0.9004 0.3026 0.7748
```

---

Entry 2:
Material: Nd2GaCl
Method: DFT, GGA-PBE
State: optimized geometry

Summary:
Crystal system: trigonal
Calculated density (g/cm³): 6.04
Formation energy without anion corrections (eV per formula unit): -4.0
M_tot (μB/atom): 0.0000

The structure in POSCAR format:
```
Nd2GaCl
1.0
4.2610 0.0000 0.0000
-2.1305 3.6901 0.0000
0.0000 0.0000 20.6480
Nd Ga Cl
6 3 3
direct
0.0000 0.0000 0.2476
0.0000 0.0000 0.7524
0.3333 0.6667 0.4191
0.3333 0.6667 0.9142
0.6667 0.3333 0.0858
0.6667 0.3333 0.5809
0.0000 0.0000 0.5000
0.3333 0.6667 0.1667
0.6667 0.3333 0.8333
0.0000 0.0000 0.0000
0.3333 0.6667 0.6667
0.6667 0.3333 0.3333
```

---

Entry 3:
Material: Nd4Ga2Cl
Method: DFT, GGA-PBE
State: optimized geometry

Summary:
Crystal system: monoclinic
Calculated density (g/cm³): 6.45
Formation energy without anion corrections (eV per formula unit): -5.4
M_tot (μB/atom): 0.0002

The structure in POSCAR format:
```
Nd4Ga2Cl
1.0
12.5483 0.0000 0.0000
0.0000 4.3096 0.0000
-5.2577 0.0000 7.1643
Nd Ga Cl
8 4 2
direct
0.0852 0.0000 0.3803
0.1788 0.5000 0.0851
0.3212 0.0000 0.9149
0.4148 0.5000 0.6197
0.5852 0.5000 0.3803
0.6788 0.0000 0.0851
0.8212 0.5000 0.9149
0.9148 0.0000 0.6197
0.1188 0.5000 0.6661
0.3812 0.0000 0.3339
0.6188 0.0000 0.6661
0.8812 0.5000 0.3339
0.0000 0.0000 0.0000
0.5000 0.5000 0.0000
```

---

Entry 4:
Material: Nd4Ga2Cl5
Method: DFT, GGA-PBE
State: optimized geometry

Summary:
Crystal system: monoclinic
Calculated density (g/cm³): 3.80
Formation energy without anion corrections (eV per formula unit): -16.0
M_tot (μB/atom): 0.0000

The structure in POSCAR format:
```
Nd4Ga2Cl5
1.0
12.0114 -1.9900 0.0000
12.0114 1.9900 0.0000
-2.0337 0.0000 8.1656
Nd Ga Cl
4 2 5
direct
0.0111 0.0111 0.2685
0.3382 0.3382 0.5291
0.6618 0.6618 0.4709
0.9889 0.9889 0.7315
0.4460 0.4460 0.4435
0.5540 0.5540 0.5565
0.1291 0.1291 0.2296
0.2294 0.2294 0.6641
0.5000 0.5000 0.0000
0.7706 0.7706 0.3359
0.8709 0.8709 0.7704
```

---

Entry 5:
Material: NdGaCl
Method: DFT, GGA-PBE
State: optimized geometry

Summary:
Crystal system: orthorhombic
Calculated density (g/cm³): 5.84
Formation energy without anion corrections (eV per formula unit): -3.6
M_tot (μB/atom): 0.0000

The structure in POSCAR format:
```
NdGaCl
1.0
3.8339 0.0000 0.0000
0.0000 3.9964 0.0000
0.0000 0.0000 9.2633
Nd Ga Cl
2 2 2
direct
0.2500 0.2500 0.2321
0.7500 0.7500 0.7679
0.2500 0.7500 0.4979
0.7500 0.2500 0.5021
0.2500 0.2500 0.8834
0.7500 0.7500 0.1166
```

---

Entry 6:
Material: Nd6GaP2Cl3
Method: DFT, GGA-PBE
State: optimized geometry

Summary:
Crystal system: monoclinic
Calculated density (g/cm³): 5.80
Formation energy without anion corrections (eV per formula unit): -16.9
M_tot (μB/atom): 0.0000

The structure in POSCAR format:
```
Nd6GaP2Cl3
1.0
9.2405 -2.0712 0.0000
9.2405 2.0712 0.0000
-2.0751 0.0000 8.2499
Nd Ga P Cl
6 1 2 3
direct
0.0073 0.0073 0.2460
0.3251 0.3251 0.4340
0.3378 0.3378 0.8944
0.6622 0.6622 0.1056
0.6749 0.6749 0.5660
0.9927 0.9927 0.7540
0.5000 0.5000 0.0000
0.1672 0.1672 0.3356
0.8328 0.8328 0.6644
0.1666 0.1666 0.8333
0.5000 0.5000 0.5000
0.8334 0.8334 0.1667
```

---

Entry 7:
Material: Nd8GaRh3Cl4
Method: DFT, GGA-PBE
State: optimized geometry

Summary:
Crystal system: monoclinic
Calculated density (g/cm³): 6.23
Formation energy without anion corrections (eV per formula unit): -17.6
M_tot (μB/atom): 0.0000

The structure in POSCAR format:
```
Nd8GaRh3Cl4
1.0
7.2072 -4.1608 0.0000
7.2072 4.1608 0.0000
-4.8047 0.0000 7.4361
Nd Ga Rh Cl
8 1 3 4
direct
0.2248 0.7434 0.7094
0.2371 0.2371 0.7109
0.2566 0.7752 0.2906
0.2577 0.2577 0.2918
0.7423 0.7423 0.7082
0.7434 0.2248 0.7094
0.7629 0.7629 0.2891
0.7752 0.2566 0.2906
0.5000 0.5000 0.5000
0.0000 0.0000 0.5000
0.0000 0.5000 0.5000
0.5000 0.0000 0.5000
0.0000 0.0000 0.0000
0.0000 0.5000 0.0000
0.5000 0.0000 0.0000
0.5000 0.5000 0.0000
```

---

Entry 8:
Material: Nd4GaRhCl2
Method: DFT, GGA-PBE
State: optimized geometry

Summary:
Crystal system: monoclinic
Calculated density (g/cm³): 6.14
Formation energy without anion corrections (eV per formula unit): -8.4
M_tot (μB/atom): 0.0000

The structure in POSCAR format:
```
Nd4GaRhCl2
1.0
7.5921 0.0000 0.0000
0.0000 4.0178 0.0000
-2.4544 0.0000 7.2781
Nd Ga Rh Cl
4 1 1 2
direct
0.2327 0.0000 0.2755
0.2371 0.5000 0.7126
0.7629 0.5000 0.2874
0.7673 0.0000 0.7245
0.5000 0.5000 0.5000
0.0000 0.0000 0.5000
0.0000 0.5000 0.0000
0.5000 0.0000 0.0000
```